(1)
Material: Th8SnSb4As3
Method: DFT, PBE-GGA
State: relaxed

Lattice parameters (Å, degrees): 8.8009 8.8696 8.8010 119.75 120.00 90.00
Fractional positions:
1 Th 0.2662 0.2678 0.0170
2 Th 0.2583 0.2749 0.5167
3 Th 0.2492 0.7321 0.4984
4 Th 0.7508 0.2679 0.5016
5 Th 0.7508 0.2678 0.0170
6 Th 0.7417 0.7251 0.4833
7 Th 0.7338 0.7322 0.9830
8 Th 0.2492 0.7322 0.9830
9 Sb 0.0000 0.0000 0.0000
10 Sb 0.5000 0.0000 0.0000
11 Sb 0.5000 0.0000 0.5000
12 Sb 0.0000 0.0000 0.5000
13 As 0.5000 0.5000 0.0000
14 As 0.0000 0.5000 0.5000
15 As 0.5000 0.5000 0.5000
16 Sn 0.0000 0.5000 0.0000

* formation energy without anion corrections: -1.03 eV per atom
* SG: R-3m (166)
* V: 30.48 Å³/atom


(2)
Material: Th4SnSb2As
Method: DFT, PBE-GGA
State: relaxed

Lattice parameters (Å, degrees): 4.4367 7.7426 7.7049 70.74 90.00 90.00
Fractional positions:
1 Th 0.0000 0.2671 0.2346
2 Th 0.5000 0.7400 0.2432
3 Th 0.0000 0.7329 0.7654
4 Th 0.5000 0.2600 0.7568
5 Sb 0.0000 0.0000 0.0000
6 Sb 0.5000 0.0000 0.5000
7 Sn 0.0000 0.5000 0.5000
8 As 0.5000 0.5000 0.0000

* formation energy without anion corrections: -0.92 eV per atom
* SG: P2/m (10)
* V: 31.23 Å³/atom


(3)
Material: SnSbAs2W
Method: DFT, PBE-GGA
State: relaxed

Lattice parameters (Å, degrees): 4.8228 5.5773 4.8228 90.00 90.00 90.00
Fractional positions:
1 Sn 0.0000 0.5000 0.0000
2 As 0.0000 0.0000 0.5000
3 As 0.5000 0.0000 0.0000
4 W 0.0000 0.0000 0.0000
5 Sb 0.5000 0.5000 0.5000

* formation energy without anion corrections: 0.54 eV per atom
* SG: P4/mmm (123)
* V: 25.94 Å³/atom


(4)
Material: SrSb2As2
Method: DFT, PBE-GGA
State: relaxed

Lattice parameters (Å, degrees): 8.5707 8.5707 3.9246 90.00 90.00 90.00
Fractional positions:
1 Sb 0.6843 0.8157 0.5000
2 Sb 0.8157 0.3157 0.5000
3 Sb 0.3157 0.1843 0.5000
4 Sb 0.1843 0.6843 0.5000
5 Sr 0.0000 0.0000 0.0000
6 Sr 0.5000 0.5000 0.0000
7 As 0.6620 0.1620 0.0000
8 As 0.8380 0.6620 0.0000
9 As 0.1620 0.3380 0.0000
10 As 0.3380 0.8380 0.0000

* formation energy without anion corrections: -0.29 eV per atom
* SG: P4/mbm (127)
* V: 28.83 Å³/atom


no.,VASP energy (eV/atom)
1,-6.89
2,-6.74
3,-5.53
4,-4.13